Entry 1:
{"formula": "LaTlCo", "functional": "GGA-PBE", "state": "optimized geometry", "lattice": [[4.618, 0.000, 0.000], [-2.309, 3.999, 0.000], [0.000, 0.000, 3.977]], "species": ["Co", "La", "Tl"], "fractional_positions": [[0.000, 0.000, 0.834], [0.667, 0.333, 0.333], [0.333, 0.667, 0.833]], "spacegroup": "P-6m2 (187)", "crystal_system": "hexagonal"}

---

Entry 2:
{"formula": "LaTlCo4", "functional": "GGA-PBE", "state": "optimized geometry", "lattice": [[-5.100, -0.054, 0.582], [-3.053, -0.115, -4.125], [-2.665, -4.247, -1.104]], "species": ["La", "Tl", "Co", "Co", "Co", "Co"], "fractional_positions": [[0.750, 0.750, 0.750], [0.000, 0.000, 0.000], [0.877, 0.374, 0.374], [0.374, 0.374, 0.877], [0.374, 0.877, 0.374], [0.374, 0.374, 0.374]], "spacegroup": "F-43m (216)", "crystal_system": "cubic"}

---

| no. | M_tot (μB per cell) | electronic total energy (eV per atom) |
| --- | --- | --- |
| 1 | 0.7 | -4.8024 |
| 2 | 4.6 | -5.8475 |